[1]
A plane-wave DFT calculation with PBE was carried out for Y2GaFeNi after structural relaxation.

Values from the calculation:
crystal system: tetragonal
formation energy from the elements: 93 meV per atom
total energy: -29.732 eV per cell

Unit cell a=5.188 b=5.188 c=4.321 alpha=90.00 beta=90.00 gamma=90.00
Fractional coordinates of all 5 atoms:
1 Y 0.000 0.500 0.000
2 Y 0.500 0.000 0.000
3 Ga 0.000 0.000 0.500
4 Fe 0.500 0.500 0.500
5 Ni 0.500 0.500 0.000

---

[2]
A plane-wave DFT calculation with PBE was carried out for Al2ReC2 after structural relaxation.

Values from the calculation:
crystal system: tetragonal
energy above the most stable polymorph in this dataset: 0.000 eV per atom
formation energy from the elements: 918 meV per atom
total energy: -33.789 eV per cell

Unit cell a=7.597 b=7.597 c=7.597 alpha=159.41 beta=159.41 gamma=29.27
Fractional coordinates of all 5 atoms:
1 Al 0.135 0.135 0.000
2 Al 0.865 0.865 0.000
3 Re 0.500 0.500 0.000
4 C 0.250 0.750 0.500
5 C 0.750 0.250 0.500

---

[3]
A plane-wave DFT calculation with PBE was carried out for Pr2BePt6Rh after structural relaxation.

Values from the calculation:
crystal system: trigonal
formation energy from the elements: -651 meV per atom
total energy: -63.394 eV per cell

Unit cell a=7.668 b=7.668 c=7.668 alpha=43.28 beta=43.28 gamma=43.28
Fractional coordinates of all 10 atoms:
1 Pr 0.208 0.208 0.208
2 Pr 0.792 0.792 0.792
3 Be 0.000 0.000 0.000
4 Pt 0.237 0.237 0.720
5 Pt 0.237 0.720 0.237
6 Pt 0.280 0.763 0.763
7 Pt 0.720 0.237 0.237
8 Pt 0.763 0.280 0.763
9 Pt 0.763 0.763 0.280
10 Rh 0.500 0.500 0.500

---

[4]
A plane-wave DFT calculation with PBE was carried out for InFe2Rh after structural relaxation.

Values from the calculation:
crystal system: orthorhombic
formation energy from the elements: 51 meV per atom
total energy: -26.812 eV per cell

Unit cell a=5.168 b=5.168 c=5.168 alpha=145.11 beta=130.51 gamma=61.98
Fractional coordinates of all 4 atoms:
1 In 0.000 0.000 0.000
2 Fe 0.258 0.758 0.500
3 Fe 0.742 0.242 0.500
4 Rh 0.500 0.500 0.000

---

[5]
A plane-wave DFT calculation with PBE was carried out for Hg4O2F3 after structural relaxation.

Values from the calculation:
crystal system: monoclinic
energy above the most stable polymorph in this dataset: 0.000 eV per atom
formation energy without anion corrections: -0.83 eV/atom
total energy: -48.488 eV per cell

Unit cell a=7.083 b=7.083 c=7.187 alpha=96.81 beta=96.81 gamma=84.98
Fractional coordinates of all 18 atoms:
1 Hg 0.072 0.749 0.507
2 Hg 0.251 0.928 0.993
3 Hg 0.343 0.353 0.293
4 Hg 0.353 0.343 0.793
5 Hg 0.647 0.657 0.207
6 Hg 0.657 0.647 0.707
7 Hg 0.749 0.072 0.007
8 Hg 0.928 0.251 0.493
9 O 0.214 0.448 0.544
10 O 0.448 0.214 0.044
11 O 0.552 0.786 0.956
12 O 0.786 0.552 0.456
13 F 0.041 0.176 0.142
14 F 0.176 0.041 0.642
15 F 0.279 0.721 0.250
16 F 0.721 0.279 0.750
17 F 0.824 0.959 0.358
18 F 0.959 0.824 0.858

---

[6]
A plane-wave DFT calculation with PBE was carried out for La4Pr9Zn11 after structural relaxation.

Values from the calculation:
crystal system: orthorhombic
formation energy from the elements: -228 meV per atom
total energy: -82.209 eV per cell

Unit cell a=13.638 b=13.638 c=3.634 alpha=90.00 beta=90.00 gamma=110.12
Fractional coordinates of all 24 atoms:
1 La 0.067 0.246 0.000
2 La 0.246 0.067 0.000
3 La 0.754 0.933 0.000
4 La 0.933 0.754 0.000
5 Pr 0.000 0.000 0.000
6 Pr 0.121 0.644 0.000
7 Pr 0.294 0.473 0.000
8 Pr 0.356 0.879 0.000
9 Pr 0.473 0.294 0.000
10 Pr 0.527 0.706 0.000
11 Pr 0.644 0.121 0.000
12 Pr 0.706 0.527 0.000
13 Pr 0.879 0.356 0.000
14 Zn 0.087 0.447 0.500
15 Zn 0.140 0.860 0.500
16 Zn 0.274 0.274 0.500
17 Zn 0.326 0.674 0.500
18 Zn 0.447 0.087 0.500
19 Zn 0.500 0.500 0.500
20 Zn 0.553 0.913 0.500
21 Zn 0.674 0.326 0.500
22 Zn 0.726 0.726 0.500
23 Zn 0.860 0.140 0.500
24 Zn 0.913 0.553 0.500

---

[7]
A plane-wave DFT calculation with PBE was carried out for GaPtRh after structural relaxation.

Values from the calculation:
crystal system: cubic
energy above the most stable polymorph in this dataset: 0.082 eV per atom
formation energy from the elements: -367 meV per atom
total energy: -17.519 eV per cell

Unit cell a=4.120 b=4.120 c=4.120 alpha=60.00 beta=60.00 gamma=60.00
Fractional coordinates of all 3 atoms:
1 Ga 0.000 0.000 0.000
2 Pt 0.750 0.750 0.750
3 Rh 0.250 0.250 0.250

---

[8]
A plane-wave DFT calculation with PBE was carried out for CeHoTm3Sc after structural relaxation.

Values from the calculation:
crystal system: orthorhombic
formation energy from the elements: 68 meV per atom
total energy: -59.696 eV per cell

Unit cell a=7.728 b=7.728 c=9.800 alpha=90.00 beta=90.00 gamma=143.02
Fractional coordinates of all 12 atoms:
1 Ce 0.002 0.998 0.750
2 Ce 0.998 0.002 0.250
3 Ho 0.500 0.500 0.000
4 Ho 0.500 0.500 0.500
5 Tm 0.166 0.834 0.000
6 Tm 0.166 0.834 0.500
7 Tm 0.331 0.669 0.750
8 Tm 0.669 0.331 0.250
9 Tm 0.834 0.166 0.000
10 Tm 0.834 0.166 0.500
11 Sc 0.333 0.667 0.250
12 Sc 0.667 0.333 0.750

---

[9]
A plane-wave DFT calculation with PBE was carried out for Li2ReBr after structural relaxation.

Values from the calculation:
crystal system: orthorhombic
energy above the most stable polymorph in this dataset: 0.381 eV per atom
formation energy without anion corrections: 0.48 eV/atom
total energy: -16.009 eV per cell

Unit cell a=2.753 b=2.753 c=10.949 alpha=90.00 beta=90.00 gamma=111.06
Fractional coordinates of all 4 atoms:
1 Li 0.000 0.000 0.000
2 Li 0.500 0.500 0.247
3 Re 0.500 0.500 0.799
4 Br 0.000 0.000 0.419

---

[10]
A plane-wave DFT calculation with PBE was carried out for Hf6TcNi5 after structural relaxation.

Values from the calculation:
crystal system: orthorhombic
formation energy from the elements: -444 meV per atom
total energy: -104.320 eV per cell

Unit cell a=7.850 b=7.850 c=7.850 alpha=146.49 beta=132.19 gamma=59.64
Fractional coordinates of all 12 atoms:
1 Hf 0.082 0.332 0.750
2 Hf 0.248 0.000 0.248
3 Hf 0.418 0.668 0.750
4 Hf 0.582 0.332 0.250
5 Hf 0.752 0.000 0.752
6 Hf 0.918 0.668 0.250
7 Tc 0.500 0.500 0.000
8 Ni 0.000 0.500 0.500
9 Ni 0.165 0.165 0.000
10 Ni 0.339 0.839 0.500
11 Ni 0.661 0.161 0.500
12 Ni 0.835 0.835 0.000

---

[11]
A plane-wave DFT calculation with PBE was carried out for CoPRu2 after structural relaxation.

Values from the calculation:
crystal system: monoclinic
formation energy from the elements: 240 meV per atom
total energy: -30.107 eV per cell

Unit cell a=4.813 b=4.813 c=2.774 alpha=104.64 beta=104.64 gamma=112.69
Fractional coordinates of all 4 atoms:
1 Co 0.000 0.000 0.000
2 P 0.500 0.500 0.000
3 Ru 0.000 0.500 0.500
4 Ru 0.500 0.000 0.500

---

[12]
A plane-wave DFT calculation with PBE was carried out for BaIn2Cl after structural relaxation.

Values from the calculation:
crystal system: tetragonal
energy above the most stable polymorph in this dataset: 0.011 eV per atom
formation energy without anion corrections: -0.85 eV/atom
total energy: -12.627 eV per cell

Unit cell a=4.416 b=4.416 c=7.267 alpha=90.00 beta=90.00 gamma=90.00
Fractional coordinates of all 4 atoms:
1 Ba 0.000 0.000 0.000
2 In 0.000 0.000 0.501
3 In 0.500 0.500 0.507
4 Cl 0.500 0.500 0.005

---

Repeat the first record exactly.
A plane-wave DFT calculation with PBE was carried out for Y2GaFeNi after structural relaxation.

Values from the calculation:
crystal system: tetragonal
formation energy from the elements: 93 meV per atom
total energy: -29.732 eV per cell

Unit cell a=5.188 b=5.188 c=4.321 alpha=90.00 beta=90.00 gamma=90.00
Fractional coordinates of all 5 atoms:
1 Y 0.000 0.500 0.000
2 Y 0.500 0.000 0.000
3 Ga 0.000 0.000 0.500
4 Fe 0.500 0.500 0.500
5 Ni 0.500 0.500 0.000